Compound: HoNi2B2O6
Source: Alexandria
Functional: PBE with a Hubbard U
Structure: optimized geometry

Results
Density of states at the Fermi level ... 0.565 states/eV per atom
Uncorrected energy ... -0.2500 Ha/atom

a b c (Å): 5.0625 5.0625 5.9215
angles (deg): 90.00 90.00 120.00
Space group P-3 (No. 147)
One atom of each set of equivalent atoms:
Ho 0.0000 0.0000 0.0000 (multiplicity 1)
Ni 0.3333 0.6667 0.3253 (multiplicity 2)
B 0.3333 0.6667 0.7684 (multiplicity 2)
O 0.0650 0.6774 0.7701 (multiplicity 6)